BaEuCdPd: optimized geometry, PBE-GGA.

Properties
Space-group type: F-43m (216)
D(E_F): 10.65 states/eV/f.u.
Calculated density: 6.909 Mg/m³
E_form: -0.348 eV/atom
M_tot: 7.44 μB/cell

abc: 5.569 5.569 5.569
angles: 60.00 60.00 60.00
Site moments in Bohr magnetons follow the coordinates.
Positions (direct):
Eu (0.500, 0.500, 0.500)  6.91
Ba (0.000, 0.000, 0.000)  0.04
Pd (0.250, 0.250, 0.250)  -0.02
Cd (0.750, 0.750, 0.750)  0.03

BaPmEuCd: optimized geometry, PBE-GGA.

Properties
Space-group type: F-43m (216)
D(E_F): 4.47 states/eV/f.u.
Calculated density: 6.198 Mg/m³
E_form: 0.048 eV/atom
M_tot: 7.57 μB/cell

abc: 5.917 5.917 5.917
angles: 60.00 60.00 60.00
Site moments in Bohr magnetons follow the coordinates.
Positions (direct):
Eu (0.250, 0.250, 0.250)  6.94
Cd (0.750, 0.750, 0.750)  -0.01
Ba (0.500, 0.500, 0.500)  0.04
Pm (0.000, 0.000, 0.000)  0.13

BaEuCdPt: optimized geometry, PBE-GGA.

Properties
Space-group type: F-43m (216)
D(E_F): 8.94 states/eV/f.u.
Calculated density: 8.398 Mg/m³
E_form: -0.452 eV/atom
M_tot: 7.35 μB/cell

abc: 5.505 5.505 5.505
angles: 60.00 60.00 60.00
Site moments in Bohr magnetons follow the coordinates.
Positions (direct):
Eu (0.000, 0.000, 0.000)  6.88
Ba (0.500, 0.500, 0.500)  0.04
Pt (0.750, 0.750, 0.750)  -0.03
Cd (0.250, 0.250, 0.250)  0.03

BaEuCdSb: optimized geometry, PBE-GGA.

Properties
Space-group type: F-43m (216)
D(E_F): 3.56 states/eV/f.u.
Calculated density: 6.302 Mg/m³
Uncorrected formation energy: -0.632 eV per atom
M_tot: 7.62 μB/cell

abc: 5.800 5.800 5.800
angles: 60.00 60.00 60.00
Site moments in Bohr magnetons follow the coordinates.
Positions (direct):
Eu (0.000, 0.000, 0.000)  6.94
Sb (0.250, 0.250, 0.250)  -0.04
Ba (0.500, 0.500, 0.500)  0.07
Cd (0.750, 0.750, 0.750)  0.04

BaEuCdSi: optimized geometry, PBE-GGA.

Properties
Space-group type: F-43m (216)
D(E_F): 10.38 states/eV/f.u.
Calculated density: 5.717 Mg/m³
Uncorrected formation energy: -0.283 eV per atom
M_tot: 7.13 μB/cell

abc: 5.610 5.610 5.610
angles: 60.00 60.00 60.00
Site moments in Bohr magnetons follow the coordinates.
Positions (direct):
Eu (0.250, 0.250, 0.250)  6.89
Si (0.000, 0.000, 0.000)  -0.03
Ba (0.750, 0.750, 0.750)  0.01
Cd (0.500, 0.500, 0.500)  0.01

BaEuCdSn: optimized geometry, PBE-GGA.

Properties
Space-group type: F-43m (216)
D(E_F): 11.48 states/eV/f.u.
Calculated density: 6.233 Mg/m³
E_form: -0.518 eV/atom
M_tot: 7.15 μB/cell

abc: 5.810 5.810 5.810
angles: 60.00 60.00 60.00
Site moments in Bohr magnetons follow the coordinates.
Positions (direct):
Eu (0.500, 0.500, 0.500)  6.90
Cd (0.750, 0.750, 0.750)  0.01
Ba (0.000, 0.000, 0.000)  0.01
Sn (0.250, 0.250, 0.250)  -0.03

BaSrEuCd: optimized geometry, PBE-GGA.

Properties
Space-group type: F-43m (216)
D(E_F): 5.14 states/eV/f.u.
Calculated density: 4.839 Mg/m³
E_form: -0.023 eV/atom
M_tot: 7.37 μB/cell

abc: 6.192 6.192 6.192
angles: 60.00 60.00 60.00
Site moments in Bohr magnetons follow the coordinates.
Positions (direct):
Eu (0.250, 0.250, 0.250)  -6.97
Sr (0.000, 0.000, 0.000)  -0.02
Ba (0.500, 0.500, 0.500)  -0.03
Cd (0.750, 0.750, 0.750)  0.01

BaCdF2: optimized geometry, PBE-GGA.

Properties
Space-group type: R-3m (166)
D(E_F): 0.00 states/eV/f.u.
Energy above the most stable polymorph in this dataset: 0 meV/atom
Calculated density: 3.640 Mg/m³
Uncorrected formation energy: -2.620 eV per atom
M_tot: 0.00 μB/cell

abc: 8.821 8.821 8.821
angles: 27.74 27.74 27.74
Positions (direct):
F (0.872, 0.872, 0.872)
F (0.128, 0.128, 0.128)
Ba (0.500, 0.500, 0.500)
Cd (0.000, 0.000, 0.000)

BaCdF2: optimized geometry, PBE-GGA.

Properties
Space-group type: Fm-3m (225)
D(E_F): 0.00 states/eV/f.u.
Energy above the most stable polymorph in this dataset: 268 meV/atom
Calculated density: 5.702 Mg/m³
Uncorrected formation energy: -2.352 eV per atom
M_tot: 0.00 μB/cell

abc: 4.912 4.912 4.912
angles: 60.00 60.00 60.00
Positions (direct):
F (0.250, 0.250, 0.250)
F (0.750, 0.750, 0.750)
Ba (0.500, 0.500, 0.500)
Cd (0.000, 0.000, 0.000)

Ba2CdF: optimized geometry, PBE-GGA.

Properties
Space-group type: Fm-3m (225)
D(E_F): 6.41 states/eV/f.u.
Energy above the most stable polymorph in this dataset: 404 meV/atom
Calculated density: 4.843 Mg/m³
Uncorrected formation energy: -1.028 eV per atom
M_tot: 0.00 μB/cell

abc: 5.818 5.818 5.818
angles: 60.00 60.00 60.00
Positions (direct):
F (0.000, 0.000, 0.000)
Ba (0.250, 0.250, 0.250)
Ba (0.750, 0.750, 0.750)
Cd (0.500, 0.500, 0.500)

Ba2CdF8: optimized geometry, PBE-GGA.

Properties
Space-group type: Immm (71)
D(E_F): 5.13 states/eV/f.u.
Calculated density: 5.124 Mg/m³
Uncorrected formation energy: -2.655 eV per atom
M_tot: 1.12 μB/cell

abc: 4.699 5.419 7.742
angles: 110.49 107.67 90.00
Site moments in Bohr magnetons follow the coordinates.
Positions (direct):
F (0.619, 0.872, 0.237)  0.09
F (0.381, 0.635, 0.763)  0.09
F (0.224, 0.224, 0.447)  0.05
F (0.000, 0.223, 0.000)  0.26
F (0.776, 0.776, 0.553)  0.05
F (0.619, 0.365, 0.237)  0.09
F (0.381, 0.128, 0.763)  0.09
F (0.000, 0.777, 0.000)  0.26
Ba (0.170, 0.670, 0.340)  0.00
Ba (0.830, 0.330, 0.660)  0.00
Cd (0.500, 0.000, 0.000)  0.07

Ba3CdF: optimized geometry, PBE-GGA.

Properties
Space-group type: Pm-3m (221)
D(E_F): 5.92 states/eV/f.u.
Energy above the most stable polymorph in this dataset: 0 meV/atom
Calculated density: 4.984 Mg/m³
Uncorrected formation energy: -1.120 eV per atom
M_tot: 0.00 μB/cell

abc: 5.657 5.657 5.657
angles: 90.00 90.00 90.00
Positions (direct):
F (0.000, 0.000, 0.000)
Ba (0.000, 0.500, 0.000)
Ba (0.000, 0.000, 0.500)
Ba (0.500, 0.000, 0.000)
Cd (0.500, 0.500, 0.500)

> Among the records above, which one has the highest D(E_F)?

BaEuCdSn

> Which value of calculated density does entry 9 give?

5.702 Mg/m³

Copy entry 11 word for word.
Ba2CdF8: optimized geometry, PBE-GGA.

Properties
Space-group type: Immm (71)
D(E_F): 5.13 states/eV/f.u.
Calculated density: 5.124 Mg/m³
Uncorrected formation energy: -2.655 eV per atom
M_tot: 1.12 μB/cell

abc: 4.699 5.419 7.742
angles: 110.49 107.67 90.00
Site moments in Bohr magnetons follow the coordinates.
Positions (direct):
F (0.619, 0.872, 0.237)  0.09
F (0.381, 0.635, 0.763)  0.09
F (0.224, 0.224, 0.447)  0.05
F (0.000, 0.223, 0.000)  0.26
F (0.776, 0.776, 0.553)  0.05
F (0.619, 0.365, 0.237)  0.09
F (0.381, 0.128, 0.763)  0.09
F (0.000, 0.777, 0.000)  0.26
Ba (0.170, 0.670, 0.340)  0.00
Ba (0.830, 0.330, 0.660)  0.00
Cd (0.500, 0.000, 0.000)  0.07

> calculated density of number 4 (BaEuCdSb)?

6.302 Mg/m³